1.
A relaxed structure of EuErAu2. Source: Alexandria via LeMat-Bulk, functional PBE-GGA.

Properties
Total magnetic moment in μB/f.u.: 7.2
E above lowest polymorph in eV/f.u.: 0.00
SG: P4/mmm (123)

Unit cell a=3.6384 b=3.6384 c=7.3873 alpha=90.00 beta=90.00 gamma=90.00
With the nearest neighbours (Å) after each atom.
Fractional positions:
Eu1 0.5000 0.5000 0.5000  8 Au 3.31, 4 Eu 3.64, 2 Er 3.69
Au1 0.0000 0.0000 0.7821  4 Er 3.03, 1 Au 3.22, 4 Eu 3.31
Au2 0.0000 0.0000 0.2179  4 Er 3.03, 1 Au 3.22, 4 Eu 3.31
Er1 0.5000 0.5000 0.0000  8 Au 3.03

=====

2.
A relaxed structure of Nd2Ga4Cu3Au. Source: Alexandria via LeMat-Bulk, functional PBE-GGA.

Properties
Total magnetic moment in μB/f.u.: 0.0
SG: P-4m2 (115)
VASP energy in eV per atom: -4.217

Unit cell a=4.2756 b=4.2756 c=10.2337 alpha=90.00 beta=90.00 gamma=90.00
With the nearest neighbours (Å) after each atom.
Fractional positions:
Nd1 0.5000 0.0000 0.2473  8 Ga 3.23-3.31, 6 Cu 3.27-3.36, 2 Au 3.36
Nd2 0.0000 0.5000 0.7527  8 Ga 3.23-3.31, 6 Cu 3.27-3.36, 2 Au 3.36
Ga1 0.5000 0.5000 0.0000  4 Cu 2.49
Ga2 0.0000 0.0000 0.0000  4 Cu 2.49
Ga3 0.5000 0.0000 0.6406  3 Cu 2.39-2.58, 2 Au 2.58
Ga4 0.0000 0.5000 0.3594  3 Cu 2.39-2.58, 2 Au 2.58
Cu1 0.0000 0.0000 0.5000  4 Ga 2.58
Cu2 0.5000 0.0000 0.8745  5 Ga 2.39-2.49
Cu3 0.0000 0.5000 0.1255  5 Ga 2.39-2.49
Au1 0.5000 0.5000 0.5000  4 Ga 2.58

=====

3.
A relaxed structure of BaTa2GeMo. Source: Alexandria via LeMat-Bulk, functional PBE-GGA.

Properties
Total magnetic moment in μB/f.u.: 0.0
SG: P4/mmm (123)
VASP energy in eV per atom: -5.192

Unit cell a=5.1366 b=4.9456 c=5.1366 alpha=90.00 beta=90.00 gamma=90.00
With the nearest neighbours (Å) after each atom.
Fractional positions:
Mo1 0.0000 0.5000 0.0000  2 Ba 2.47
Ge1 0.5000 0.5000 0.5000  8 Ta 3.57, 4 Mo 3.63
Ba1 0.0000 0.0000 0.0000  2 Mo 2.47, 4 Ta 2.57
Ta1 0.0000 0.0000 0.5000  2 Ba 2.57
Ta2 0.5000 0.0000 0.0000  2 Ba 2.57

=====

4.
A relaxed structure of Y2BeGe4Pt3. Source: Alexandria via LeMat-Bulk, functional PBE-GGA.

Properties
Total magnetic moment in μB/f.u.: 0.0
SG: P-4m2 (115)
VASP energy in eV per atom: -6.102

Unit cell a=4.0907 b=4.0907 c=10.8769 alpha=90.00 beta=90.00 gamma=90.00
With the nearest neighbours (Å) after each atom.
Fractional positions:
Y1 0.5000 0.0000 0.2656  4 Ge 3.10, 6 Pt 3.20-3.27, 2 Be 3.27
Y2 0.0000 0.5000 0.7344  4 Ge 3.10, 6 Pt 3.20-3.27, 2 Be 3.27
Be1 0.5000 0.5000 0.5000  4 Ge 2.50
Ge1 0.5000 0.5000 0.0000  4 Pt 2.55
Ge2 0.0000 0.0000 0.0000  4 Pt 2.55
Ge3 0.5000 0.0000 0.6327  3 Pt 2.47-2.50, 2 Be 2.50
Ge4 0.0000 0.5000 0.3673  3 Pt 2.47-2.50, 2 Be 2.50
Pt1 0.0000 0.0000 0.5000  4 Ge 2.50
Pt2 0.5000 0.0000 0.8595  5 Ge 2.47-2.55
Pt3 0.0000 0.5000 0.1405  5 Ge 2.47-2.55

=====

5.
A relaxed structure of Ho2Ga5Au. Source: Alexandria via LeMat-Bulk, functional PBE-GGA.

Properties
Total magnetic moment in μB/f.u.: 0.0
SG: I4mm (107)
VASP energy in eV per atom: -3.989

Unit cell a=6.0157 b=6.0157 c=6.0157 alpha=91.35 beta=119.22 gamma=119.22
With the nearest neighbours (Å) after each atom.
Fractional positions:
Ho1 0.5000 0.2777 0.7777  10 Ga 3.01-3.04, 2 Au 3.04
Ho2 0.5000 0.7777 0.2777  10 Ga 3.01-3.04, 2 Au 3.04
Ga1 0.4973 0.7764 0.7764  2 Au 3.00-3.02, 6 Ga 3.00-3.06, 4 Ho 3.01
Ga2 0.0000 0.7764 0.2790  2 Au 3.00-3.02, 6 Ga 3.00-3.06, 4 Ho 3.01
Ga3 0.0000 0.2790 0.7764  2 Au 3.00-3.02, 6 Ga 3.00-3.06, 4 Ho 3.01
Ga4 0.5027 0.2790 0.2790  2 Au 3.00-3.02, 6 Ga 3.00-3.06, 4 Ho 3.01
Ga5 0.0000 0.2754 0.2754  8 Ga 3.00-3.01, 4 Ho 3.04
Au1 0.0000 0.7805 0.7805  8 Ga 3.00-3.02, 4 Ho 3.04

=====

6.
A relaxed structure of Sr4TcOs. Source: Alexandria via LeMat-Bulk, functional PBE-GGA.

Properties
Total magnetic moment in μB/f.u.: 3.3
SG: F-43m (216)
VASP energy in eV per atom: -2.995

Unit cell a=6.3478 b=6.3478 c=6.3478 alpha=60.00 beta=60.00 gamma=60.00
With the nearest neighbours (Å) after each atom.
Fractional positions:
Sr1 0.8766 0.3745 0.3745  6 Sr 3.16-3.19
Sr2 0.3745 0.3745 0.8766  6 Sr 3.16-3.19
Sr3 0.3745 0.8766 0.3745  6 Sr 3.16-3.19
Sr4 0.3745 0.3745 0.3745  6 Sr 3.16-3.19
Tc1 0.7500 0.7500 0.7500  12 Sr 3.72, 4 Os 3.89
Os1 0.0000 0.0000 0.0000  12 Sr 3.72, 4 Tc 3.89

=====

7.
A relaxed structure of CrGa2NiAu. Source: Alexandria via LeMat-Bulk, functional PBE-GGA.

Properties
Total magnetic moment in μB/f.u.: 4.6
SG: P4/mmm (123)
VASP energy in eV per atom: -4.619

Unit cell a=4.4257 b=4.9541 c=4.4257 alpha=90.00 beta=90.00 gamma=90.00
With the nearest neighbours (Å) after each atom.
Fractional positions:
Ni1 0.0000 0.0000 0.0000  4 Ga 2.21, 2 Au 2.48
Au1 0.0000 0.5000 0.0000  2 Ni 2.48
Ga1 0.0000 0.0000 0.5000  2 Ni 2.21
Ga2 0.5000 0.0000 0.0000  2 Ni 2.21
Cr1 0.5000 0.5000 0.5000  4 Au 3.13, 8 Ga 3.32

=====

8.
A relaxed structure of ErHf2Ga8. Source: Alexandria via LeMat-Bulk, functional PBE-GGA.

Properties
Total magnetic moment in μB/f.u.: 0.0
SG: C2/m (12)
VASP energy in eV per atom: -4.588

Unit cell a=5.4051 b=7.1965 c=7.0954 alpha=59.53 beta=79.33 gamma=68.59
With the nearest neighbours (Å) after each atom.
Fractional positions:
Er1 0.5000 0.0000 0.0000  8 Ga 2.85-3.03
Hf1 0.0000 0.2850 0.4300  8 Ga 2.73-2.93
Hf2 0.0000 0.7150 0.5700  8 Ga 2.73-2.93
Ga1 0.8069 0.1259 0.2100  3 Ga 2.57-2.78, 2 Hf 2.73-2.85
Ga2 0.8069 0.3359 0.7900  3 Ga 2.57-2.78, 2 Hf 2.73-2.85
Ga3 0.2583 0.4248 0.0000  3 Ga 2.60-2.70, 1 Er 2.85
Ga4 0.5000 0.7590 0.4819  2 Hf 2.76, 2 Ga 2.78, 1 Er 2.95
Ga5 0.5000 0.2410 0.5181  2 Hf 2.76, 2 Ga 2.78, 1 Er 2.95
Ga6 0.7417 0.5752 0.0000  3 Ga 2.60-2.70, 1 Er 2.85
Ga7 0.1931 0.6641 0.2100  3 Ga 2.57-2.78, 2 Hf 2.73-2.85
Ga8 0.1931 0.8741 0.7900  3 Ga 2.57-2.78, 2 Hf 2.73-2.85

=====

9.
A relaxed structure of MnP3I. Source: Alexandria via LeMat-Bulk, functional PBE-GGA.

Properties
Raw formation energy in eV per atom: 2.24
Total magnetic moment in μB/f.u.: 0.5
E above lowest polymorph in eV/f.u.: 8.67
SG: Pm-3m (221)

Unit cell a=5.0306 b=5.0306 c=5.0306 alpha=90.00 beta=90.00 gamma=90.00
With the nearest neighbours (Å) after each atom.
Fractional positions:
I1 0.0000 0.0000 0.0000  6 P 2.52
P1 0.0000 0.5000 0.0000  2 I 2.52
P2 0.0000 0.0000 0.5000  2 I 2.52
P3 0.5000 0.0000 0.0000  2 I 2.52
Mn1 0.5000 0.5000 0.5000  12 P 3.56

=====

10.
A relaxed structure of La5DyYTm2. Source: Alexandria via LeMat-Bulk, functional PBE-GGA.

Properties
Total magnetic moment in μB/f.u.: 0.0
SG: Cmc2_1 (36)
VASP energy in eV per atom: -4.829

Unit cell a=5.4882 b=11.2156 c=10.6327 alpha=90.00 beta=90.00 gamma=104.16
With the nearest neighbours (Å) after each atom.
Fractional positions:
La1 0.3769 0.7537 0.0081  1 Dy 3.60, 6 La 3.77-3.93, 4 Tm 3.83-3.84
La2 0.7209 0.4418 0.8191  2 La 3.29, 1 Y 3.30, 3 Dy 3.41-3.61, 3 Tm 3.66-3.67
La3 0.5002 0.0004 0.7576  2 Y 3.44, 4 Tm 3.69, 6 La 3.77-3.82
La4 0.2801 0.5603 0.6990  2 La 3.29, 1 Y 3.30, 3 Dy 3.41-3.62, 3 Tm 3.65-3.68
La5 0.9999 0.9998 0.5079  2 Y 3.51, 4 Tm 3.61-3.64, 6 La 3.82-3.84
La6 0.6231 0.2463 0.5081  1 Dy 3.60, 6 La 3.77-3.93, 4 Tm 3.83-3.84
La7 0.2791 0.5582 0.3191  2 La 3.29, 1 Y 3.30, 3 Dy 3.41-3.61, 3 Tm 3.66-3.67
La8 0.4998 0.9996 0.2576  2 Y 3.44, 4 Tm 3.69, 6 La 3.77-3.82
La9 0.7199 0.4397 0.1990  2 La 3.29, 1 Y 3.30, 3 Dy 3.41-3.62, 3 Tm 3.65-3.68
La10 0.0001 0.0002 0.0079  2 Y 3.51, 4 Tm 3.61-3.64, 6 La 3.82-3.84
Dy1 0.7886 0.5771 0.5089  2 Tm 3.40, 7 La 3.41-3.62, 2 Y 3.66
Dy2 0.2114 0.4229 0.0089  2 Tm 3.40, 7 La 3.41-3.62, 2 Y 3.66
Y1 0.6004 0.2008 0.0077  6 La 3.30-3.51, 2 Dy 3.66
Y2 0.3996 0.7992 0.5077  6 La 3.30-3.51, 2 Dy 3.66
Tm1 0.8871 0.7742 0.7568  1 Dy 3.40, 7 La 3.61-3.69
Tm2 0.1137 0.2274 0.7589  1 Dy 3.40, 7 La 3.62-3.69
Tm3 0.1129 0.2258 0.2568  1 Dy 3.40, 7 La 3.61-3.69
Tm4 0.8863 0.7726 0.2589  1 Dy 3.40, 7 La 3.62-3.69

=====

11.
A relaxed structure of Ce6Sb2C. Source: Alexandria via LeMat-Bulk, functional PBE-GGA.

Properties
Raw formation energy in eV per atom: -0.56
Total magnetic moment in μB/f.u.: 4.0
E above lowest polymorph in eV/f.u.: 0.00
SG: Immm (71)

Unit cell a=6.5992 b=6.5941 c=10.1851 alpha=90.00 beta=90.02 gamma=90.00
With the nearest neighbours (Å) after each atom.
Fractional positions:
Ce1 0.9998 0.0000 0.2638  1 C 2.41
Ce2 0.7338 0.7309 0.4999  1 C 2.50
Ce3 0.7662 0.7691 0.0001  1 C 2.50
Ce4 0.7338 0.2691 0.4999  1 C 2.50
Ce5 0.7662 0.2309 0.0001  1 C 2.50
Ce6 0.5002 0.5000 0.2362  1 C 2.41
Ce7 0.0002 0.0000 0.7362  1 C 2.41
Ce8 0.2662 0.2691 0.5001  1 C 2.50
Ce9 0.2338 0.2309 0.9999  1 C 2.50
Ce10 0.2662 0.7309 0.5001  1 C 2.50
Ce11 0.2338 0.7691 0.9999  1 C 2.50
Ce12 0.4998 0.5000 0.7638  1 C 2.41
Sb1 0.9998 0.5000 0.7507  12 Ce 3.30-3.46
Sb2 0.5002 0.0000 0.7493  12 Ce 3.30-3.46
Sb3 0.4998 0.0000 0.2507  12 Ce 3.30-3.46
Sb4 0.0002 0.5000 0.2493  12 Ce 3.30-3.46
C1 0.5000 0.5000 0.0000  6 Ce 2.41-2.50
C2 0.0000 0.0000 0.5000  6 Ce 2.41-2.50

=====

12.
A relaxed structure of GeSeF2. Source: Alexandria via LeMat-Bulk, functional PBE-GGA.

Properties
Raw formation energy in eV per atom: -0.54
Total magnetic moment in μB/f.u.: 2.0
E above lowest polymorph in eV/f.u.: 1.47
SG: Fm-3m (225)

Unit cell a=4.4317 b=4.4317 c=4.4317 alpha=60.00 beta=60.00 gamma=60.00
With the nearest neighbours (Å) after each atom.
Fractional positions:
Ge1 0.0000 0.0000 0.0000  8 F 2.71
Se1 0.5000 0.5000 0.5000  8 F 2.71
F1 0.2500 0.2500 0.2500  4 Ge 2.71, 4 Se 2.71
F2 0.7500 0.7500 0.7500  4 Se 2.71, 4 Ge 2.71

=====

> Look up the total magnetic moment of the third one.

0.0 μB/f.u.

=====

> Which value of total magnetic moment does entry 6 give?

3.3 μB/f.u.

=====

> Look up the total magnetic moment of the fifth one.

0.0 μB/f.u.

=====

> Among the records above, which one has the highest total magnetic moment?

EuErAu2